#i
The following is a DFT calculation (PBE) of a relaxed ZnNiCl2 crystal. Values from VASP.

Calculated values
N(E_F), states/eV/atom: 0.930

Cell and atoms, written as Quantum ESPRESSO input:
```
&SYSTEM
  ibrav = 0, nat = 4, ntyp = 3
/
ATOMIC_SPECIES
Zn 65.41 Zn.upf
Ni 58.69 Ni.upf
Cl 35.45 Cl.upf
ATOMIC_POSITIONS angstrom
Zn 0.000 0.000 0.000
Ni 3.213 3.213 3.213
Cl 1.607 1.607 1.607
Cl 4.820 4.820 4.820
CELL_PARAMETERS angstrom
0.000 3.213 3.213
3.213 0.000 3.213
3.213 3.213 0.000
```


#ii
The following is a DFT calculation (PBE) of a relaxed ZnNiCl2 crystal. Values from VASP.

Calculated values
N(E_F), states/eV/atom: 0.414

Cell and atoms, written as Quantum ESPRESSO input:
```
&SYSTEM
  ibrav = 0, nat = 4, ntyp = 3
/
ATOMIC_SPECIES
Zn 65.41 Zn.upf
Ni 58.69 Ni.upf
Cl 35.45 Cl.upf
ATOMIC_POSITIONS angstrom
Zn 0.000 0.000 0.000
Ni 2.447 0.000 0.000
Cl 0.055 1.691 4.255
Cl 2.473 1.691 1.567
CELL_PARAMETERS angstrom
4.893 0.000 0.000
0.000 3.381 0.000
-2.365 0.000 5.821
```


#iii
The following is a DFT calculation (PBE) of a relaxed ZnNiCl2 crystal. Values from VASP.

Calculated values
N(E_F), states/eV/atom: 0.665

Cell and atoms, written as Quantum ESPRESSO input:
```
&SYSTEM
  ibrav = 0, nat = 4, ntyp = 3
/
ATOMIC_SPECIES
Zn 65.41 Zn.upf
Ni 58.69 Ni.upf
Cl 35.45 Cl.upf
ATOMIC_POSITIONS angstrom
Zn 0.000 0.000 0.000
Ni 1.693 0.000 3.166
Cl 0.000 1.809 3.166
Cl 1.693 1.809 0.000
CELL_PARAMETERS angstrom
3.386 0.000 0.000
0.000 3.618 0.000
0.000 0.000 6.333
```


#iv
The following is a DFT calculation (PBE) of a relaxed ZnNiCl2 crystal. Values from VASP.

Cell and atoms, written as Quantum ESPRESSO input:
```
&SYSTEM
  ibrav = 0, nat = 4, ntyp = 3
/
ATOMIC_SPECIES
Zn 65.41 Zn.upf
Ni 58.69 Ni.upf
Cl 35.45 Cl.upf
ATOMIC_POSITIONS angstrom
Zn 0.000 0.000 0.000
Ni 1.682 1.682 6.116
Cl 0.000 0.000 4.582
Cl 1.682 1.682 1.349
CELL_PARAMETERS angstrom
3.364 0.000 0.000
0.000 3.364 0.000
0.000 0.000 6.963
```


The most stable arrangement is #ii, and the next structure is 49 meV/atom less stable.


#i
The following is a DFT calculation (PBE) of a relaxed ZnNiCl2 crystal. Values from VASP.

Calculated values
N(E_F), states/eV/atom: 0.681

Cell and atoms, written as Quantum ESPRESSO input:
```
&SYSTEM
  ibrav = 0, nat = 4, ntyp = 3
/
ATOMIC_SPECIES
Zn 65.41 Zn.upf
Ni 58.69 Ni.upf
Cl 35.45 Cl.upf
ATOMIC_POSITIONS angstrom
Zn 0.000 0.000 0.000
Ni 0.000 0.000 6.700
Cl 1.650 0.000 4.964
Cl 0.000 1.973 1.737
CELL_PARAMETERS angstrom
-1.650 1.973 6.700
1.650 -1.973 6.700
1.650 1.973 -6.700
```


#ii
The following is a DFT calculation (PBE) of a relaxed ZnNiCl2 crystal. Values from VASP.

Calculated values
N(E_F), states/eV/atom: 1.138

Cell and atoms, written as Quantum ESPRESSO input:
```
&SYSTEM
  ibrav = 0, nat = 4, ntyp = 3
/
ATOMIC_SPECIES
Zn 65.41 Zn.upf
Ni 58.69 Ni.upf
Cl 35.45 Cl.upf
ATOMIC_POSITIONS angstrom
Zn 0.000 0.000 0.000
Ni 2.289 2.289 0.000
Cl 0.000 2.289 1.612
Cl 2.289 0.000 1.612
CELL_PARAMETERS angstrom
4.578 0.000 0.000
0.000 4.578 0.000
0.000 0.000 3.225
```


#iii
The following is a DFT calculation (PBE) of a relaxed ZnNiCl2 crystal. Values from VASP.

Calculated values
N(E_F), states/eV/atom: 0.627

Cell and atoms, written as Quantum ESPRESSO input:
```
&SYSTEM
  ibrav = 0, nat = 4, ntyp = 3
/
ATOMIC_SPECIES
Zn 65.41 Zn.upf
Ni 58.69 Ni.upf
Cl 35.45 Cl.upf
ATOMIC_POSITIONS angstrom
Zn 0.000 0.000 0.000
Ni 0.000 1.784 5.460
Cl 1.556 0.000 4.952
Cl 0.000 0.000 8.673
CELL_PARAMETERS angstrom
-1.556 1.784 7.457
1.556 -1.784 7.457
1.556 1.784 -7.457
```


The most stable arrangement is #i, and the next structure is 79 meV/atom less stable.


#i
The following is a DFT calculation (PBE) of a relaxed ZnNiCl4 crystal. Values from VASP.

Calculated values
N(E_F), states/eV/atom: 2.044

Cell and atoms, written as Quantum ESPRESSO input:
```
&SYSTEM
  ibrav = 0, nat = 6, ntyp = 3
/
ATOMIC_SPECIES
Zn 65.41 Zn.upf
Ni 58.69 Ni.upf
Cl 35.45 Cl.upf
ATOMIC_POSITIONS angstrom
Zn 0.000 0.000 0.000
Ni 2.078 2.078 2.078
Cl 5.193 3.120 3.120
Cl 3.120 5.193 3.120
Cl 3.120 3.120 5.193
Cl 5.193 5.193 5.193
CELL_PARAMETERS angstrom
0.000 4.157 4.157
4.157 0.000 4.157
4.157 4.157 0.000
```


#ii
The following is a DFT calculation (PBE) of a relaxed ZnNiCl4 crystal. Values from VASP.

Cell and atoms, written as Quantum ESPRESSO input:
```
&SYSTEM
  ibrav = 0, nat = 12, ntyp = 3
/
ATOMIC_SPECIES
Zn 65.41 Zn.upf
Ni 58.69 Ni.upf
Cl 35.45 Cl.upf
ATOMIC_POSITIONS angstrom
Zn 0.000 0.000 0.000
Zn 0.000 3.617 0.000
Ni -1.768 1.809 2.515
Ni 1.768 1.809 2.515
Cl 1.706 1.809 0.113
Cl 1.831 -1.809 5.144
Cl 0.000 0.168 2.468
Cl 3.537 0.168 2.563
Cl 0.000 3.449 2.468
Cl 3.537 3.449 2.563
Cl 1.706 5.426 -0.113
Cl 1.831 1.809 4.918
CELL_PARAMETERS angstrom
-3.537 3.617 5.031
3.537 -3.617 5.031
3.537 3.617 -5.031
```


The most stable arrangement is #ii, and the next structure is 1715 meV/atom less stable.


#i
The following is a DFT calculation (PBE) of a relaxed Zr2NiCl crystal. Values from VASP.

Calculated values
N(E_F), states/eV/atom: 0.945

Cell and atoms, written as Quantum ESPRESSO input:
```
&SYSTEM
  ibrav = 0, nat = 4, ntyp = 3
/
ATOMIC_SPECIES
Zr 91.22 Zr.upf
Ni 58.69 Ni.upf
Cl 35.45 Cl.upf
ATOMIC_POSITIONS angstrom
Zr 0.554 0.000 2.146
Zr 3.135 0.000 4.726
Ni -1.643 0.000 3.436
Cl 3.487 0.000 0.000
CELL_PARAMETERS angstrom
3.487 -1.767 0.000
3.487 1.767 0.000
-3.286 0.000 6.872
```


#ii
The following is a DFT calculation (PBE) of a relaxed Zr2NiCl crystal. Values from VASP.

Calculated values
N(E_F), states/eV/atom: 1.073

Cell and atoms, written as Quantum ESPRESSO input:
```
&SYSTEM
  ibrav = 0, nat = 4, ntyp = 3
/
ATOMIC_SPECIES
Zr 91.22 Zr.upf
Ni 58.69 Ni.upf
Cl 35.45 Cl.upf
ATOMIC_POSITIONS angstrom
Zr 1.614 1.776 0.000
Zr 1.614 -1.776 0.000
Ni 0.000 0.000 1.514
Cl 3.228 0.000 1.514
CELL_PARAMETERS angstrom
3.228 -3.552 0.000
3.228 3.552 0.000
0.000 0.000 3.028
```


#iii
The following is a DFT calculation (PBE) of a relaxed Zr2NiCl crystal. Values from VASP.

Calculated values
N(E_F), states/eV/atom: 1.118

Cell and atoms, written as Quantum ESPRESSO input:
```
&SYSTEM
  ibrav = 0, nat = 4, ntyp = 3
/
ATOMIC_SPECIES
Zr 91.22 Zr.upf
Ni 58.69 Ni.upf
Cl 35.45 Cl.upf
ATOMIC_POSITIONS angstrom
Zr -0.001 0.000 1.617
Zr 3.209 0.000 6.120
Ni 1.608 1.550 0.000
Cl -0.004 1.550 3.868
CELL_PARAMETERS angstrom
3.215 0.000 0.000
0.000 3.100 0.000
-0.008 0.000 7.736
```


#iv
The following is a DFT calculation (PBE) of a relaxed Zr2NiCl crystal. Values from VASP.

Calculated values
N(E_F), states/eV/atom: 0.959

Cell and atoms, written as Quantum ESPRESSO input:
```
&SYSTEM
  ibrav = 0, nat = 8, ntyp = 3
/
ATOMIC_SPECIES
Zr 91.22 Zr.upf
Ni 58.69 Ni.upf
Cl 35.45 Cl.upf
ATOMIC_POSITIONS angstrom
Zr 4.281 1.279 -1.465
Zr 1.279 1.427 1.465
Zr -1.427 1.575 4.396
Zr 1.575 1.427 7.327
Ni 0.000 0.000 0.000
Ni 0.000 2.854 2.931
Cl 2.854 0.000 2.931
Cl 0.000 0.000 5.861
CELL_PARAMETERS angstrom
-2.854 2.854 5.861
2.854 -2.854 5.861
2.854 2.854 -5.861
```


The most stable arrangement is #i, and the next structure is 17 meV/atom less stable.


#i
The following is a DFT calculation (PBE) of a relaxed ZrNiCl3 crystal. Values from VASP.

Calculated values
N(E_F), states/eV/atom: 5.031

Cell and atoms, written as Quantum ESPRESSO input:
```
&SYSTEM
  ibrav = 0, nat = 5, ntyp = 3
/
ATOMIC_SPECIES
Zr 91.22 Zr.upf
Ni 58.69 Ni.upf
Cl 35.45 Cl.upf
ATOMIC_POSITIONS angstrom
Zr 0.000 0.000 0.000
Ni 2.512 2.512 2.512
Cl 0.000 0.000 2.512
Cl 0.000 2.512 0.000
Cl 2.512 0.000 0.000
CELL_PARAMETERS angstrom
5.025 0.000 0.000
0.000 5.025 0.000
0.000 0.000 5.025
```


#ii
The following is a DFT calculation (PBE) of a relaxed ZrNiCl3 crystal. Values from VASP.

Calculated values
N(E_F), states/eV/atom: 1.390

Cell and atoms, written as Quantum ESPRESSO input:
```
&SYSTEM
  ibrav = 0, nat = 5, ntyp = 3
/
ATOMIC_SPECIES
Zr 91.22 Zr.upf
Ni 58.69 Ni.upf
Cl 35.45 Cl.upf
ATOMIC_POSITIONS angstrom
Zr 0.000 0.000 0.000
Ni 2.313 2.313 2.313
Cl 0.000 2.313 2.313
Cl 2.313 0.000 2.313
Cl 2.313 2.313 0.000
CELL_PARAMETERS angstrom
4.626 0.000 0.000
0.000 4.626 0.000
0.000 0.000 4.626
```


The most stable arrangement is #i, and the next structure is 153 meV/atom less stable.


#i
The following is a DFT calculation (PBE) of a relaxed NpClO2 crystal. Values from VASP.

Calculated values
N(E_F), states/eV/atom: 2.056

Cell and atoms, written as Quantum ESPRESSO input:
```
&SYSTEM
  ibrav = 0, nat = 4, ntyp = 3
/
ATOMIC_SPECIES
Np 237.00 Np.upf
Cl 35.45 Cl.upf
O 16.00 O.upf
ATOMIC_POSITIONS angstrom
Np 0.000 0.000 0.000
Cl 0.000 0.000 7.936
O 0.000 0.000 4.678
O 0.000 0.000 11.194
CELL_PARAMETERS angstrom
1.841 1.063 5.291
-1.841 1.063 5.291
0.000 -2.125 5.291
```


#ii
The following is a DFT calculation (PBE) of a relaxed NpClO2 crystal. Values from VASP.

Calculated values
N(E_F), states/eV/atom: 1.596

Cell and atoms, written as Quantum ESPRESSO input:
```
&SYSTEM
  ibrav = 0, nat = 4, ntyp = 3
/
ATOMIC_SPECIES
Np 237.00 Np.upf
Cl 35.45 Cl.upf
O 16.00 O.upf
ATOMIC_POSITIONS angstrom
Np 0.000 0.000 0.000
Cl 2.704 0.000 0.000
O 2.704 3.801 1.678
O 2.704 -3.801 1.678
CELL_PARAMETERS angstrom
2.704 -5.032 0.000
2.704 5.032 0.000
0.000 0.000 3.357
```


The most stable arrangement is #ii, and the next structure is 145 meV/atom less stable.


#i
The following is a DFT calculation (PBE) of a relaxed NpPCl crystal. Values from VASP.

Calculated values
N(E_F), states/eV/atom: 1.941

Cell and atoms, written as Quantum ESPRESSO input:
```
&SYSTEM
  ibrav = 0, nat = 6, ntyp = 3
/
ATOMIC_SPECIES
Np 237.00 Np.upf
P 30.97 P.upf
Cl 35.45 Cl.upf
ATOMIC_POSITIONS angstrom
Np 2.571 2.310 3.771
Np 2.571 -2.310 1.257
P 2.571 3.735 1.257
P 2.571 -3.735 3.771
Cl 2.571 0.862 1.257
Cl 2.571 -0.862 3.771
CELL_PARAMETERS angstrom
2.571 -4.490 0.000
2.571 4.490 0.000
0.000 0.000 5.027
```


#ii
The following is a DFT calculation (PBE) of a relaxed NpPCl crystal. Values from VASP.

Calculated values
N(E_F), states/eV/atom: 2.548

Cell and atoms, written as Quantum ESPRESSO input:
```
&SYSTEM
  ibrav = 0, nat = 3, ntyp = 3
/
ATOMIC_SPECIES
Np 237.00 Np.upf
P 30.97 P.upf
Cl 35.45 Cl.upf
ATOMIC_POSITIONS angstrom
Np 0.000 0.000 0.000
P 2.274 1.313 1.761
Cl 0.000 2.625 0.000
CELL_PARAMETERS angstrom
4.547 0.000 0.000
-2.274 3.938 0.000
0.000 0.000 3.523
```


The most stable arrangement is #i, and the next structure is 135 meV/atom less stable.


#i
The following is a DFT calculation (PBE) of a relaxed NpPaCl6 crystal. Values from VASP.

Calculated values
N(E_F), states/eV/atom: 1.310

Cell and atoms, written as Quantum ESPRESSO input:
```
&SYSTEM
  ibrav = 0, nat = 8, ntyp = 3
/
ATOMIC_SPECIES
Np 237.00 Np.upf
Pa 231.04 Pa.upf
Cl 35.45 Cl.upf
ATOMIC_POSITIONS angstrom
Np 0.000 0.000 0.000
Pa 2.528 0.000 3.279
Cl 1.284 1.819 1.675
Cl 0.383 0.000 4.931
Cl 1.284 -1.819 1.675
Cl 3.771 1.819 4.882
Cl 4.673 0.000 1.627
Cl 3.771 -1.819 4.882
CELL_PARAMETERS angstrom
3.468 -6.149 0.000
3.468 6.149 0.000
-1.880 0.000 6.558
```


#ii
The following is a DFT calculation (PBE) of a relaxed NpPaCl6 crystal. Values from VASP.

Calculated values
N(E_F), states/eV/atom: 1.165

Cell and atoms, written as Quantum ESPRESSO input:
```
&SYSTEM
  ibrav = 0, nat = 8, ntyp = 3
/
ATOMIC_SPECIES
Np 237.00 Np.upf
Pa 231.04 Pa.upf
Cl 35.45 Cl.upf
ATOMIC_POSITIONS angstrom
Np 0.000 0.000 0.000
Pa 0.000 0.000 9.798
Cl -1.034 -1.964 8.205
Cl -2.218 -0.087 11.390
Cl -1.184 1.877 8.205
Cl 1.184 -1.877 11.390
Cl 2.218 0.087 8.205
Cl 1.034 1.964 11.390
CELL_PARAMETERS angstrom
3.441 1.987 6.532
-3.441 1.987 6.532
0.000 -3.974 6.532
```


The most stable arrangement is #i, and the next structure is 27 meV/atom less stable.


#i
The following is a DFT calculation (PBE) of a relaxed NpPb2Cl8 crystal. Values from VASP.

Calculated values
N(E_F), states/eV/atom: 0.425

Cell and atoms, written as Quantum ESPRESSO input:
```
&SYSTEM
  ibrav = 0, nat = 11, ntyp = 3
/
ATOMIC_SPECIES
Np 237.00 Np.upf
Pb 207.20 Pb.upf
Cl 35.45 Cl.upf
ATOMIC_POSITIONS angstrom
Np 0.000 0.000 0.000
Pb 2.948 0.000 3.525
Pb 7.090 0.000 2.699
Cl 2.754 2.830 4.653
Cl -0.083 0.000 4.730
Cl 7.284 2.830 1.572
Cl 4.647 0.000 1.374
Cl 5.391 0.000 4.851
Cl 2.754 -2.830 4.653
Cl 10.121 0.000 1.495
Cl 7.284 -2.830 1.572
CELL_PARAMETERS angstrom
6.088 -4.617 0.000
6.088 4.617 0.000
-2.139 0.000 6.225
```


#ii
The following is a DFT calculation (PBE) of a relaxed NpPb2Cl8 crystal. Values from VASP.

Calculated values
N(E_F), states/eV/atom: 0.312

Cell and atoms, written as Quantum ESPRESSO input:
```
&SYSTEM
  ibrav = 0, nat = 11, ntyp = 3
/
ATOMIC_SPECIES
Np 237.00 Np.upf
Pb 207.20 Pb.upf
Cl 35.45 Cl.upf
ATOMIC_POSITIONS angstrom
Np 0.000 0.000 0.000
Pb 6.268 0.000 2.716
Pb 12.650 0.000 4.071
Cl 1.434 0.000 2.593
Cl 1.364 0.000 6.272
Cl 4.428 0.000 4.791
Cl 9.605 0.000 1.500
Cl 9.313 0.000 5.287
Cl 14.490 0.000 1.996
Cl 17.554 0.000 0.515
Cl 17.484 0.000 4.194
CELL_PARAMETERS angstrom
10.058 -2.279 0.000
10.058 2.279 0.000
-1.199 0.000 6.787
```


The most stable arrangement is #i, and the next structure is 44 meV/atom less stable.


#i
The following is a DFT calculation (PBE) of a relaxed Rb2NpCl8 crystal. Values from VASP.

Calculated values
N(E_F), states/eV/atom: 0.507

Cell and atoms, written as Quantum ESPRESSO input:
```
&SYSTEM
  ibrav = 0, nat = 11, ntyp = 3
/
ATOMIC_SPECIES
Rb 85.47 Rb.upf
Np 237.00 Np.upf
Cl 35.45 Cl.upf
ATOMIC_POSITIONS angstrom
Rb 2.652 0.000 0.730
Rb 6.773 0.000 6.466
Np -2.385 0.000 3.598
Cl 3.561 2.872 2.085
Cl -0.401 0.000 1.909
Cl 5.865 2.872 5.111
Cl 1.554 0.000 6.557
Cl 7.872 0.000 0.639
Cl 3.561 -2.872 2.085
Cl 9.826 0.000 5.287
Cl 5.865 -2.872 5.111
CELL_PARAMETERS angstrom
7.097 -4.679 0.000
7.097 4.679 0.000
-4.770 0.000 7.196
```


#ii
The following is a DFT calculation (PBE) of a relaxed Rb2NpCl8 crystal. Values from VASP.

Calculated values
N(E_F), states/eV/atom: 1.811

Cell and atoms, written as Quantum ESPRESSO input:
```
&SYSTEM
  ibrav = 0, nat = 11, ntyp = 3
/
ATOMIC_SPECIES
Rb 85.47 Rb.upf
Np 237.00 Np.upf
Cl 35.45 Cl.upf
ATOMIC_POSITIONS angstrom
Rb 3.629 0.000 1.179
Rb 16.556 0.000 5.167
Np 10.092 0.000 3.173
Cl -0.134 0.000 1.955
Cl 3.502 0.000 4.659
Cl 7.591 0.000 3.441
Cl 9.349 0.000 0.758
Cl 10.836 0.000 5.587
Cl 12.593 0.000 2.905
Cl 16.682 0.000 1.687
Cl 20.319 0.000 4.390
CELL_PARAMETERS angstrom
11.052 -2.476 0.000
11.052 2.476 0.000
-1.919 0.000 6.345
```


The most stable arrangement is #i, and the next structure is 133 meV/atom less stable.